# RbSbW2F (GGA+U, relaxed)
data_RbSbW2F
_chemical_formula_sum 'Rb1 Sb1 W2 F1'
_cell_length_a 5.443
_cell_length_b 5.443
_cell_length_c 7.570
_cell_angle_alpha 90.00
_cell_angle_beta 90.00
_cell_angle_gamma 90.00
_symmetry_space_group_name_H-M 'P 4/m m m'
_symmetry_Int_Tables_number 123
_symmetry_space_group_name_Hall '-P 4 2'
loop_
_atom_site_label
_atom_site_type_symbol
_atom_site_fract_x
_atom_site_fract_y
_atom_site_fract_z
Rb1 Rb 0.000 0.000 0.000
Sb1 Sb 0.000 0.000 0.500
W1 W 0.000 0.500 0.500
F1 F 0.500 0.500 0.000
# Calculated total energy in eV/cell: -17.6
# D(E_F) in states/eV per cell: 0.97